(1)
A relaxed Be2Co3B crystal, computed with PBE.

```
Be2Co3B
1.0
2.5446 0.0000 0.0000
0.0000 3.4346 -1.1370
0.0000 -0.0224 5.6883
Be Co B
2 3 1
direct
0.0000 0.3260 0.6519
0.0000 0.6740 0.3481
0.5000 0.5000 0.0000
0.5000 0.8435 0.6871
0.5000 0.1565 0.3129
0.0000 0.0000 0.0000
```

Computed properties:
* M_tot: 0.0 Bohr magnetons per cell
* energy of formation from the pure elements: -0.339 eV/atom
* density of states at the Fermi level: 6.002 states/eV per cell


(2)
A relaxed BeCoB3 crystal, computed with PBE.

```
BeCoB3
1.0
-0.4644 -1.6652 -2.9771
-0.8514 -2.8529 1.7286
-3.3032 0.9695 -0.0270
Be B Co
1 3 1
direct
0.0000 0.0000 0.0000
0.0000 0.5000 0.0000
0.0000 0.0000 0.5000
0.5000 0.0000 0.0000
0.5000 0.5000 0.5000
```

Computed properties:
* M_tot: 0.0 Bohr magnetons per cell
* energy of formation from the pure elements: 1.439 eV/atom
* distance to the lowest polymorph of the same formula: 315 meV/atom
* density of states at the Fermi level: 2.870 states/eV per cell


(3)
A relaxed DyBe2CoB crystal, computed with PBE.

```
DyBe2CoB
1.0
3.5167 0.0000 0.0000
0.0000 3.5431 0.0000
-1.7583 -1.7716 4.7894
Dy Be Co B
1 2 1 1
direct
0.4349 0.4349 0.8698
0.7015 0.2015 0.4029
0.0671 0.0671 0.1341
0.1992 0.6992 0.3983
0.8096 0.8096 0.6191
```

Computed properties:
* M_tot: 0.0 Bohr magnetons per cell
* energy of formation from the pure elements: -0.216 eV/atom
* density of states at the Fermi level: 3.277 states/eV per cell


(4)
A relaxed DyBe2Co2B crystal, computed with PBE.

```
DyBe2Co2B
1.0
3.7656 0.0000 0.0000
0.0000 3.7656 0.0000
0.0000 0.0000 5.1614
Dy Be Co B
1 2 2 1
direct
0.0000 0.0000 0.5000
0.5000 0.5000 0.7476
0.5000 0.5000 0.2524
0.5000 0.0000 0.0000
0.0000 0.5000 0.0000
0.0000 0.0000 0.0000
```

Computed properties:
* M_tot: 0.0 Bohr magnetons per cell
* energy of formation from the pure elements: -0.308 eV/atom
* density of states at the Fermi level: 2.345 states/eV per cell


(5)
A relaxed Dy2BeCo5B2 crystal, computed with PBE.

```
Dy2BeCo5B2
1.0
2.9922 0.0000 0.0000
0.0000 8.9114 0.0000
0.0000 0.0000 8.9114
Dy Be Co B
4 2 10 4
direct
0.0000 0.6775 0.1775
0.0000 0.3225 0.8225
0.0000 0.1775 0.3225
0.0000 0.8225 0.6775
0.0000 0.0000 0.0000
0.0000 0.5000 0.5000
0.5000 0.2201 0.0666
0.5000 0.7799 0.9334
0.5000 0.0666 0.7799
0.5000 0.7201 0.4334
0.5000 0.9334 0.2201
0.5000 0.2799 0.5666
0.5000 0.5666 0.7201
0.5000 0.4334 0.2799
0.5000 0.5000 0.0000
0.5000 0.0000 0.5000
0.0000 0.1203 0.6203
0.0000 0.8797 0.3797
0.0000 0.6203 0.8797
0.0000 0.3797 0.1203
```

Computed properties:
* M_tot: 0.0 Bohr magnetons per cell
* energy of formation from the pure elements: -0.255 eV/atom
* density of states at the Fermi level: 14.309 states/eV per cell


(6)
A relaxed Er2BeCo6B crystal, computed with PBE.

```
Er2BeCo6B
1.0
-4.5951 1.1804 3.0485
-1.0908 -5.5111 0.4895
-0.6639 -2.3003 5.1058
Er Be Co B
2 1 6 1
direct
0.2500 0.7500 0.5000
0.7500 0.2500 0.5000
0.5000 0.5000 0.0000
0.2429 0.7571 0.0000
0.7571 0.7571 0.0000
0.2429 0.2429 0.5142
0.7571 0.2429 0.0000
0.2429 0.2429 0.0000
0.7571 0.7571 0.4858
0.0000 0.0000 0.0000
```

Computed properties:
* M_tot: 2.9 Bohr magnetons per cell
* energy of formation from the pure elements: -0.197 eV/atom
* density of states at the Fermi level: 6.172 states/eV per cell


(7)
A relaxed ErBe2CoB crystal, computed with PBE.

```
ErBe2CoB
1.0
3.5191 0.0000 0.0000
0.0000 3.5401 0.0000
-1.7596 -1.7700 4.6825
Er Be Co B
1 2 1 1
direct
0.4355 0.4355 0.8710
0.7012 0.2012 0.4024
0.0619 0.0619 0.1238
0.1993 0.6993 0.3986
0.8142 0.8142 0.6285
```

Computed properties:
* M_tot: 0.0 Bohr magnetons per cell
* energy of formation from the pure elements: -0.244 eV/atom
* density of states at the Fermi level: 2.994 states/eV per cell


(8)
A relaxed HfBe2CoB crystal, computed with PBE.

```
HfBe2CoB
1.0
3.2140 0.0000 0.0000
0.0000 3.4439 0.0000
-1.6070 -1.7219 4.7077
Hf Be Co B
1 2 1 1
direct
0.4307 0.4307 0.8614
0.7038 0.2038 0.4077
0.0498 0.0498 0.0996
0.1951 0.6951 0.3903
0.8327 0.8327 0.6653
```

Computed properties:
* M_tot: 0.0 Bohr magnetons per cell
* energy of formation from the pure elements: -0.421 eV/atom
* density of states at the Fermi level: 2.317 states/eV per cell


(9)
A relaxed HfBeCo2B crystal, computed with PBE.

```
HfBeCo2B
1.0
-1.3626 -3.6825 0.0591
3.3868 -1.2413 0.7376
-0.7178 0.3273 3.8469
Co B Hf Be
2 1 1 1
direct
0.0000 0.0000 0.5000
0.5000 0.0000 0.0000
0.0000 0.0000 0.0000
0.5000 0.5000 0.5000
0.0000 0.5000 0.0000
```

Computed properties:
* M_tot: 1.3 Bohr magnetons per cell
* energy of formation from the pure elements: -0.231 eV/atom
* density of states at the Fermi level: 2.620 states/eV per cell


(10)
A relaxed Hf2BeCo5B2 crystal, computed with PBE.

```
Hf2BeCo5B2
1.0
3.0086 0.0000 0.0000
0.0000 8.5372 0.0000
0.0000 0.0000 8.5372
Hf Be Co B
4 2 10 4
direct
0.0000 0.6771 0.1771
0.0000 0.3229 0.8229
0.0000 0.1771 0.3229
0.0000 0.8229 0.6771
0.0000 0.0000 0.0000
0.0000 0.5000 0.5000
0.5000 0.2160 0.0672
0.5000 0.7840 0.9328
0.5000 0.0672 0.7840
0.5000 0.7160 0.4328
0.5000 0.9328 0.2160
0.5000 0.2840 0.5672
0.5000 0.5672 0.7160
0.5000 0.4328 0.2840
0.5000 0.5000 0.0000
0.5000 0.0000 0.5000
0.0000 0.1210 0.6210
0.0000 0.8790 0.3790
0.0000 0.6210 0.8790
0.0000 0.3790 0.1210
```

Computed properties:
* M_tot: 0.0 Bohr magnetons per cell
* energy of formation from the pure elements: -0.536 eV/atom
* density of states at the Fermi level: 5.077 states/eV per cell


(11)
A relaxed HoBe2Co2B crystal, computed with PBE.

```
HoBe2Co2B
1.0
-0.7347 3.3202 -1.6096
-3.2916 0.1518 1.8156
2.2745 2.4049 3.9225
Ho Be Co B
1 2 2 1
direct
0.0000 0.0000 0.5000
0.5000 0.5000 0.7455
0.5000 0.5000 0.2545
0.5000 0.0000 0.0000
0.0000 0.5000 0.0000
0.0000 0.0000 0.0000
```

Computed properties:
* M_tot: 0.0 Bohr magnetons per cell
* energy of formation from the pure elements: -0.313 eV/atom
* density of states at the Fermi level: 2.268 states/eV per cell


(12)
A relaxed HoBeCoB2 crystal, computed with PBE.

```
HoBeCoB2
1.0
-2.2009 2.5659 0.5915
-1.6000 -1.9154 2.3556
4.7734 1.3712 1.8572
Ho Be Co B
1 1 1 2
direct
0.0000 0.0000 0.0000
0.2500 0.7500 0.5000
0.7500 0.2500 0.5000
0.6356 0.6356 0.2713
0.3644 0.3644 0.7287
```

Computed properties:
* M_tot: 0.0 Bohr magnetons per cell
* energy of formation from the pure elements: -0.344 eV/atom
* density of states at the Fermi level: 3.275 states/eV per cell


(13)
A relaxed BeCoBIr crystal, computed with PBE.

```
BeCoBIr
1.0
3.7582 0.0000 0.0000
1.8791 3.2547 0.0000
1.8791 1.0849 3.0685
Be B Ir Co
1 1 1 1
direct
0.7500 0.7500 0.7500
0.2500 0.2500 0.2500
0.5000 0.5000 0.5000
0.0000 0.0000 0.0000
```

Computed properties:
* M_tot: 0.0 Bohr magnetons per cell
* energy of formation from the pure elements: -0.298 eV/atom
* density of states at the Fermi level: 1.871 states/eV per cell


(14)
A relaxed K2BeCoB crystal, computed with PBE.

```
K2BeCoB
1.0
-0.9838 1.2077 5.8601
-4.0154 -0.0997 -0.6535
-0.0504 -5.9403 1.2158
Be K B Co
1 2 1 1
direct
0.0000 0.5000 0.0000
0.0000 0.0000 0.5000
0.5000 0.0000 0.0000
0.5000 0.5000 0.5000
0.0000 0.0000 0.0000
```

Computed properties:
* M_tot: 2.7 Bohr magnetons per cell
* energy of formation from the pure elements: 1.612 eV/atom
* density of states at the Fermi level: 5.967 states/eV per cell


(15)
A relaxed Mg2BeCo5B2 crystal, computed with PBE.

```
Mg2BeCo5B2
1.0
2.7308 0.0000 0.0000
0.0000 8.6140 0.0000
0.0000 0.0000 8.6140
Mg Be Co B
4 2 10 4
direct
0.0000 0.6761 0.1761
0.0000 0.3239 0.8239
0.0000 0.1761 0.3239
0.0000 0.8239 0.6761
0.0000 0.0000 0.0000
0.0000 0.5000 0.5000
0.5000 0.2099 0.0665
0.5000 0.7901 0.9335
0.5000 0.0665 0.7901
0.5000 0.7099 0.4335
0.5000 0.9335 0.2099
0.5000 0.2901 0.5665
0.5000 0.5665 0.7099
0.5000 0.4335 0.2901
0.5000 0.5000 0.0000
0.5000 0.0000 0.5000
0.0000 0.1270 0.6270
0.0000 0.8730 0.3730
0.0000 0.6270 0.8730
0.0000 0.3730 0.1270
```

Computed properties:
* M_tot: 0.0 Bohr magnetons per cell
* energy of formation from the pure elements: -0.239 eV/atom
* density of states at the Fermi level: 20.429 states/eV per cell


(16)
A relaxed BeNb2Co2B4 crystal, computed with PBE.

```
BeNb2Co2B4
1.0
4.9870 -0.1999 -0.3154
-2.1863 4.4866 0.3154
-2.1863 -1.6299 4.1920
Be Nb Co B
1 2 2 4
direct
0.0000 0.0000 0.0000
0.5000 0.7500 0.2500
0.5000 0.2500 0.7500
0.0000 0.6755 0.6755
0.0000 0.3245 0.3245
0.0000 0.7150 0.2850
0.4301 0.7150 0.7150
0.0000 0.2850 0.7150
0.5699 0.2850 0.2850
```

Computed properties:
* M_tot: 0.0 Bohr magnetons per cell
* energy of formation from the pure elements: -0.023 eV/atom
* density of states at the Fermi level: 5.101 states/eV per cell


(17)
A relaxed Np2BeCo5B2 crystal, computed with PBE.

```
Np2BeCo5B2
1.0
2.9437 0.0000 0.0000
0.0000 8.9267 0.0000
0.0000 0.0000 8.9267
Np Be Co B
4 2 10 4
direct
0.0000 0.6802 0.1802
0.0000 0.3198 0.8198
0.0000 0.1802 0.3198
0.0000 0.8198 0.6802
0.0000 0.0000 0.0000
0.0000 0.5000 0.5000
0.5000 0.2193 0.0652
0.5000 0.7807 0.9348
0.5000 0.0652 0.7807
0.5000 0.7193 0.4348
0.5000 0.9348 0.2193
0.5000 0.2807 0.5652
0.5000 0.5652 0.7193
0.5000 0.4348 0.2807
0.5000 0.5000 0.0000
0.5000 0.0000 0.5000
0.0000 0.1187 0.6187
0.0000 0.8813 0.3813
0.0000 0.6187 0.8813
0.0000 0.3813 0.1187
```

Computed properties:
* M_tot: 11.4 Bohr magnetons per cell
* energy of formation from the pure elements: -0.116 eV/atom
* density of states at the Fermi level: 30.572 states/eV per cell